Record 1
# TbSmGeCl2 | OQMD via LeMat-Bulk | PBE | relaxed
# DFT total energy = -5.174 eV per atom
# Calculated density = 5.21 g/cm³
# Total magnetization = 0.001 μB per atom
data_TbSmGeCl2
_symmetry_space_group_name_H-M 'P 3 m 1'
_symmetry_Int_Tables_number 156
_symmetry_space_group_name_Hall 'P 3 -2"'
_cell_length_a 4.1388
_cell_length_b 4.1388
_cell_length_c 9.7292
_cell_angle_alpha 90.00
_cell_angle_beta 90.00
_cell_angle_gamma 120.00
loop_
_atom_site_label
_atom_site_type_symbol
_atom_site_fract_x
_atom_site_fract_y
_atom_site_fract_z
_atom_site_occupancy
Tb1 Tb 0.0000 0.0000 0.0000 1
Sm1 Sm 0.6667 0.3333 0.3386 1
Ge1 Ge 0.3333 0.6667 0.1664 1
Cl1 Cl 0.0000 0.0000 0.5016 1
Cl2 Cl 0.6667 0.3333 0.8415 1

Record 2
# SmTmGeCl2 | OQMD via LeMat-Bulk | PBE | relaxed
# DFT total energy = -5.117 eV per atom
# Calculated density = 5.46 g/cm³
# Total magnetization = 0.001 μB per atom
data_SmTmGeCl2
_symmetry_space_group_name_H-M 'P 3 m 1'
_symmetry_Int_Tables_number 156
_symmetry_space_group_name_Hall 'P 3 -2"'
_cell_length_a 4.0987
_cell_length_b 4.0987
_cell_length_c 9.6691
_cell_angle_alpha 90.00
_cell_angle_beta 90.00
_cell_angle_gamma 120.00
loop_
_atom_site_label
_atom_site_type_symbol
_atom_site_fract_x
_atom_site_fract_y
_atom_site_fract_z
_atom_site_occupancy
Sm1 Sm 0.0000 0.0000 0.0000 1
Tm1 Tm 0.3333 0.6667 0.6637 1
Ge1 Ge 0.6667 0.3333 0.8260 1
Cl1 Cl 0.0000 0.0000 0.5076 1
Cl2 Cl 0.3333 0.6667 0.1673 1

Record 3
# SmYGeCl2 | OQMD via LeMat-Bulk | PBE | relaxed
# DFT total energy = -5.547 eV per atom
# Calculated density = 4.42 g/cm³
# Total magnetization = 0.002 μB per atom
data_SmYGeCl2
_symmetry_space_group_name_H-M 'P 3 m 1'
_symmetry_Int_Tables_number 156
_symmetry_space_group_name_Hall 'P 3 -2"'
_cell_length_a 4.1312
_cell_length_b 4.1312
_cell_length_c 9.7262
_cell_angle_alpha 90.00
_cell_angle_beta 90.00
_cell_angle_gamma 120.00
loop_
_atom_site_label
_atom_site_type_symbol
_atom_site_fract_x
_atom_site_fract_y
_atom_site_fract_z
_atom_site_occupancy
Sm1 Sm 0.0000 0.0000 0.0000 1
Y1 Y 0.6667 0.3333 0.3381 1
Ge1 Ge 0.3333 0.6667 0.1720 1
Cl1 Cl 0.0000 0.0000 0.4963 1
Cl2 Cl 0.6667 0.3333 0.8360 1

Record 4
# Zn3Ge3Cl2 | OQMD via LeMat-Bulk | PBE | relaxed
# DFT total energy = -2.692 eV per atom
# Calculated density = 4.93 g/cm³
data_Zn3Ge3Cl2
_symmetry_space_group_name_H-M 'P 1 2/m 1'
_symmetry_Int_Tables_number 10
_symmetry_space_group_name_Hall '-P 2y'
_cell_length_a 4.2836
_cell_length_b 3.3810
_cell_length_c 11.2890
_cell_angle_alpha 90.00
_cell_angle_beta 91.03
_cell_angle_gamma 90.00
loop_
_atom_site_label
_atom_site_type_symbol
_atom_site_fract_x
_atom_site_fract_y
_atom_site_fract_z
_atom_site_occupancy
Zn1 Zn 0.0000 0.0000 0.0000 1
Zn2 Zn 0.3523 0.5000 0.2435 1
Ge1 Ge 0.1878 0.0000 0.7987 1
Ge2 Ge 0.5000 0.5000 0.0000 1
Cl1 Cl 0.2300 0.0000 0.3923 1

Record 5
# K2HgH2Cl4O | OQMD via LeMat-Bulk | PBE | relaxed
# DFT total energy = -3.434 eV per atom
# Calculated density = 3.31 g/cm³
data_K2HgH2Cl4O
_symmetry_space_group_name_H-M 'P b a m'
_symmetry_Int_Tables_number 55
_symmetry_space_group_name_Hall '-P 2 2ab'
_cell_length_a 8.3801
_cell_length_b 11.7663
_cell_length_c 8.9270
_cell_angle_alpha 90.00
_cell_angle_beta 90.00
_cell_angle_gamma 90.00
loop_
_atom_site_label
_atom_site_type_symbol
_atom_site_fract_x
_atom_site_fract_y
_atom_site_fract_z
_atom_site_occupancy
K1 K 0.0812 0.1563 0.0000 1
K2 K 0.1054 0.1956 0.5000 1
Hg1 Hg 0.0000 0.5000 0.2281 1
H1 H 0.0878 0.9768 0.2996 1
Cl1 Cl 0.1177 0.6887 0.2534 1
Cl2 Cl 0.2025 0.4233 0.0000 1
Cl3 Cl 0.2429 0.9408 0.5000 1
O1 O 0.0000 0.0000 0.2324 1

Record 6
# Ho2H2ICl3 | OQMD via LeMat-Bulk | PBE | relaxed
# DFT total energy = -4.483 eV per atom
# Calculated density = 5.19 g/cm³
# Total magnetization = 0.000 μB per atom
data_Ho2H2ICl3
_symmetry_space_group_name_H-M 'P 3 m 1'
_symmetry_Int_Tables_number 156
_symmetry_space_group_name_Hall 'P 3 -2"'
_cell_length_a 3.7889
_cell_length_b 3.7889
_cell_length_c 14.5335
_cell_angle_alpha 90.00
_cell_angle_beta 90.00
_cell_angle_gamma 120.00
loop_
_atom_site_label
_atom_site_type_symbol
_atom_site_fract_x
_atom_site_fract_y
_atom_site_fract_z
_atom_site_occupancy
Ho1 Ho 0.0000 0.0000 0.0000 1
Ho2 Ho 0.0000 0.0000 0.4894 1
H1 H 0.3333 0.6667 0.4900 1
H2 H 0.6667 0.3333 0.9952 1
I1 I 0.3333 0.6667 0.8503 1
Cl1 Cl 0.3333 0.6667 0.1177 1
Cl2 Cl 0.6667 0.3333 0.3704 1
Cl3 Cl 0.6667 0.3333 0.6087 1

Record 7
# Ho2H2I3Cl | OQMD via LeMat-Bulk | PBE | relaxed
# DFT total energy = -4.109 eV per atom
# Calculated density = 6.00 g/cm³
# Total magnetization = 0.001 μB per atom
data_Ho2H2I3Cl
_symmetry_space_group_name_H-M 'P 3 m 1'
_symmetry_Int_Tables_number 156
_symmetry_space_group_name_Hall 'P 3 -2"'
_cell_length_a 3.9207
_cell_length_b 3.9207
_cell_length_c 15.5464
_cell_angle_alpha 90.00
_cell_angle_beta 90.00
_cell_angle_gamma 120.00
loop_
_atom_site_label
_atom_site_type_symbol
_atom_site_fract_x
_atom_site_fract_y
_atom_site_fract_z
_atom_site_occupancy
Ho1 Ho 0.0000 0.0000 0.0000 1
Ho2 Ho 0.0000 0.0000 0.4895 1
H1 H 0.3333 0.6667 0.9967 1
H2 H 0.6667 0.3333 0.4901 1
I1 I 0.3333 0.6667 0.3529 1
I2 I 0.3333 0.6667 0.6260 1
I3 I 0.6667 0.3333 0.8621 1
Cl1 Cl 0.6667 0.3333 0.1072 1

Record 8
# LaHoH2Cl4 | OQMD via LeMat-Bulk | PBE | relaxed
# DFT total energy = -4.731 eV per atom
# Calculated density = 4.29 g/cm³
# Total magnetization = 0.000 μB per atom
data_LaHoH2Cl4
_symmetry_space_group_name_H-M 'P -6 m 2'
_symmetry_Int_Tables_number 187
_symmetry_space_group_name_Hall 'P -6 2'
_cell_length_a 3.8783
_cell_length_b 3.8783
_cell_length_c 13.2867
_cell_angle_alpha 90.00
_cell_angle_beta 90.00
_cell_angle_gamma 120.00
loop_
_atom_site_label
_atom_site_type_symbol
_atom_site_fract_x
_atom_site_fract_y
_atom_site_fract_z
_atom_site_occupancy
La1 La 0.0000 0.0000 0.0000 1
Ho1 Ho 0.0000 0.0000 0.5000 1
H1 H 0.3333 0.6667 0.5000 1
H2 H 0.6667 0.3333 0.0000 1
Cl1 Cl 0.3333 0.6667 0.1382 1
Cl2 Cl 0.6667 0.3333 0.3725 1

Record 9
# HoH4NCl4 | OQMD via LeMat-Bulk | PBE | relaxed
# DFT total energy = -4.627 eV per atom
# Calculated density = 2.84 g/cm³
# Total magnetization = 0.000 μB per atom
data_HoH4NCl4
_symmetry_space_group_name_H-M 'I 41/a'
_symmetry_Int_Tables_number 88
_cell_length_a 7.1681
_cell_length_b 7.1681
_cell_length_c 14.8048
_cell_angle_alpha 90.00
_cell_angle_beta 90.00
_cell_angle_gamma 90.00
loop_
_symmetry_equiv_pos_as_xyz
'x,y,z'
'-x,-y,-z'
'-y+3/4,x+1/4,z+1/4'
'y+3/4,-x+1/4,-z+1/4'
'-x+1/2,-y,z+1/2'
'x+1/2,y,-z+1/2'
'y+3/4,-x+3/4,z+3/4'
'-y+3/4,x+3/4,-z+3/4'
'x+1/2,y+1/2,z+1/2'
'-x+1/2,-y+1/2,-z+1/2'
'-y+1/4,x+3/4,z+3/4'
'y+1/4,-x+3/4,-z+3/4'
'-x,-y+1/2,z'
'x,y+1/2,-z'
'y+1/4,-x+1/4,z+1/4'
'-y+1/4,x+1/4,-z+1/4'
loop_
_atom_site_label
_atom_site_type_symbol
_atom_site_fract_x
_atom_site_fract_y
_atom_site_fract_z
_atom_site_occupancy
Ho1 Ho 0.0000 0.2500 0.1250 1
H1 H 0.0411 0.1398 0.6654 1
N1 N 0.0000 0.2500 0.6250 1
Cl1 Cl 0.1826 0.0223 0.2211 1

Record 10
# NdHoH2Cl4 | OQMD via LeMat-Bulk | PBE | relaxed
# DFT total energy = -4.689 eV per atom
# Calculated density = 4.47 g/cm³
# Total magnetization = 0.000 μB per atom
data_NdHoH2Cl4
_symmetry_space_group_name_H-M 'P -6 m 2'
_symmetry_Int_Tables_number 187
_symmetry_space_group_name_Hall 'P -6 2'
_cell_length_a 3.8202
_cell_length_b 3.8202
_cell_length_c 13.3078
_cell_angle_alpha 90.00
_cell_angle_beta 90.00
_cell_angle_gamma 120.00
loop_
_atom_site_label
_atom_site_type_symbol
_atom_site_fract_x
_atom_site_fract_y
_atom_site_fract_z
_atom_site_occupancy
Nd1 Nd 0.0000 0.0000 0.0000 1
Ho1 Ho 0.0000 0.0000 0.5000 1
H1 H 0.3333 0.6667 0.5000 1
H2 H 0.6667 0.3333 0.0000 1
Cl1 Cl 0.3333 0.6667 0.1363 1
Cl2 Cl 0.6667 0.3333 0.3714 1

Record 11
# PrHoH2Cl4 | OQMD via LeMat-Bulk | PBE | relaxed
# DFT total energy = -4.684 eV per atom
# Calculated density = 4.39 g/cm³
# Total magnetization = 0.000 μB per atom
data_PrHoH2Cl4
_symmetry_space_group_name_H-M 'P -6 m 2'
_symmetry_Int_Tables_number 187
_symmetry_space_group_name_Hall 'P -6 2'
_cell_length_a 3.8421
_cell_length_b 3.8421
_cell_length_c 13.3077
_cell_angle_alpha 90.00
_cell_angle_beta 90.00
_cell_angle_gamma 120.00
loop_
_atom_site_label
_atom_site_type_symbol
_atom_site_fract_x
_atom_site_fract_y
_atom_site_fract_z
_atom_site_occupancy
Pr1 Pr 0.0000 0.0000 0.0000 1
Ho1 Ho 0.0000 0.0000 0.5000 1
H1 H 0.3333 0.6667 0.0000 1
H2 H 0.6667 0.3333 0.5000 1
Cl1 Cl 0.3333 0.6667 0.3719 1
Cl2 Cl 0.6667 0.3333 0.1373 1

Record 12
# HoScH2Cl4 | OQMD via LeMat-Bulk | PBE | relaxed
# DFT total energy = -4.786 eV per atom
# Calculated density = 3.91 g/cm³
# Total magnetization = 0.000 μB per atom
data_HoScH2Cl4
_symmetry_space_group_name_H-M 'P -6 m 2'
_symmetry_Int_Tables_number 187
_symmetry_space_group_name_Hall 'P -6 2'
_cell_length_a 3.6027
_cell_length_b 3.6027
_cell_length_c 13.3585
_cell_angle_alpha 90.00
_cell_angle_beta 90.00
_cell_angle_gamma 120.00
loop_
_atom_site_label
_atom_site_type_symbol
_atom_site_fract_x
_atom_site_fract_y
_atom_site_fract_z
_atom_site_occupancy
Ho1 Ho 0.0000 0.0000 0.0000 1
Sc1 Sc 0.0000 0.0000 0.5000 1
H1 H 0.3333 0.6667 0.5000 1
H2 H 0.6667 0.3333 0.0000 1
Cl1 Cl 0.3333 0.6667 0.1331 1
Cl2 Cl 0.6667 0.3333 0.3756 1